This record from Alexandria via LeMat-Bulk describes a relaxed structure of Ca2HfUSb4. The functional is PBE.

density of states at the Fermi level	1.0129	states/eV/atom
E_form (uncorrected)	-0.634	eV per atom

a b c (Å): 4.336 7.483 7.741
angles (deg): 108.71 90.00 90.00
Fractional coordinates of all 8 atoms:
1 Sb 0.500 0.767 0.773
2 Sb 0.000 0.245 0.767
3 Sb 0.500 0.233 0.227
4 Sb 0.000 0.755 0.233
5 Ca 0.000 0.500 0.500
6 Ca 0.500 0.000 0.500
7 U 0.500 0.500 0.000
8 Hf 0.000 0.000 0.000

---

This record from Alexandria via LeMat-Bulk describes a relaxed structure of LaEu2Bi. The functional is PBE.

ΔE to the lowest computed polymorph	44.48	kJ per mole of atoms
density of states at the Fermi level	0.9883	states/eV/atom
energy of formation from the pure elements	-0.01	eV per formula unit

a b c (Å): 3.711 3.711 13.101
angles (deg): 81.86 81.86 60.00
Fractional coordinates of all 4 atoms:
1 Bi 0.000 0.000 0.000
2 Eu 0.085 0.085 0.746
3 Eu 0.915 0.915 0.254
4 La 0.500 0.500 0.500

---

This record from Alexandria via LeMat-Bulk describes a relaxed structure of CaCuB2As. The functional is PBE.

density of states at the Fermi level	0.3989	states/eV/atom
energy of formation from the pure elements	3.32	eV per formula unit

a b c (Å): 3.966 5.285 3.966
angles (deg): 90.00 90.00 90.00
Fractional coordinates of all 5 atoms:
1 B 0.000 0.000 0.500
2 B 0.500 0.000 0.000
3 As 0.000 0.500 0.000
4 Cu 0.000 0.000 0.000
5 Ca 0.500 0.500 0.500